Record 1
This record from Alexandria describes Ti4InRh after structural relaxation. The functional is PBE.

Unit cell a=7.018 b=7.018 c=7.166 alpha=116.54 beta=116.54 gamma=41.73
Positions (direct):
Ti1 0.064 0.773 0.831
Ti2 0.136 0.505 0.396
Ti3 0.227 0.936 0.669
Ti4 0.495 0.864 0.104
Ti5 0.505 0.136 0.896
Ti6 0.773 0.064 0.331
Ti7 0.864 0.495 0.604
Ti8 0.936 0.227 0.169
In1 0.355 0.645 0.250
In2 0.645 0.355 0.750
Rh1 0.000 0.500 0.000
Rh2 0.500 0.000 0.500

## Properties
As for the space-group type: C2/c (15). As for the volume: 17.2 Å³/atom. For the energy of formation from the pure elements, the calculation gives -224 meV/atom. The energy comes out at -7.169 eV per atom. Its magnetic moment is 0.0 μB/cell.

=====

Record 2
This record from Alexandria describes SrLaBi2Ir after structural relaxation. The functional is PBE.

Unit cell a=5.780 b=5.780 c=5.677 alpha=90.00 beta=90.00 gamma=90.00
Positions (direct):
Sr1 0.000 0.000 0.000
La1 0.000 0.000 0.500
Bi1 0.000 0.500 0.000
Bi2 0.500 0.000 0.000
Ir1 0.500 0.500 0.500

## Properties
As for the space-group type: P4/mmm (123). As for the volume: 37.9 Å³/atom. For the energy of formation from the pure elements, the calculation gives 1543 meV/atom. The energy comes out at -3.103 eV per atom. Its magnetic moment is 0.0 μB/cell.

=====

Record 3
This record from Alexandria describes NaSr5Ag after structural relaxation. The functional is PBE.

Unit cell a=7.944 b=7.944 c=13.164 alpha=108.62 beta=108.62 gamma=61.63
Positions (direct):
Na1 0.032 0.968 0.750
Na2 0.968 0.032 0.250
Sr1 0.044 0.704 0.461
Sr2 0.111 0.464 0.869
Sr3 0.296 0.956 0.039
Sr4 0.464 0.111 0.369
Sr5 0.465 0.535 0.250
Sr6 0.535 0.465 0.750
Sr7 0.536 0.889 0.631
Sr8 0.704 0.044 0.961
Sr9 0.889 0.536 0.131
Sr10 0.956 0.296 0.539
Ag1 0.500 0.500 0.000
Ag2 0.500 0.500 0.500

## Properties
As for the space-group type: C2/c (15). As for the volume: 48.5 Å³/atom. For the energy of formation from the pure elements, the calculation gives -11 meV/atom. The energy comes out at -1.808 eV per atom. Its magnetic moment is 0.0 μB/cell.

=====

Record 4
This record from Alexandria describes NbVNiIr after structural relaxation. The functional is PBE.

Unit cell a=4.307 b=4.307 c=4.307 alpha=60.00 beta=60.00 gamma=60.00
Positions (direct):
Nb1 0.000 0.000 0.000
V1 0.750 0.750 0.750
Ni1 0.250 0.250 0.250
Ir1 0.500 0.500 0.500

## Properties
As for the space-group type: F-43m (216). As for the volume: 14.1 Å³/atom. For the energy of formation from the pure elements, the calculation gives -228 meV/atom. The energy comes out at -8.686 eV per atom. Its magnetic moment is 0.0 μB/cell. The value obtained for the excess energy over the best structure of this formula in the dataset is 12.3 kJ per mole of atoms.

=====

Record 5
This record from Alexandria describes LaY2HoTl2 after structural relaxation. The functional is PBE.

Unit cell a=5.179 b=10.144 c=6.864 alpha=90.00 beta=90.00 gamma=90.00
Positions (direct):
La1 0.000 0.044 0.000
La2 0.000 0.956 0.500
Y1 0.000 0.319 0.383
Y2 0.000 0.681 0.883
Y3 0.500 0.454 0.096
Y4 0.500 0.546 0.596
Ho1 0.500 0.195 0.724
Ho2 0.500 0.805 0.224
Tl1 0.000 0.369 0.843
Tl2 0.000 0.631 0.343
Tl3 0.500 0.140 0.268
Tl4 0.500 0.860 0.768

## Properties
As for the space-group type: Pmc2_1 (26). As for the volume: 30.0 Å³/atom. For the energy of formation from the pure elements, the calculation gives -288 meV/atom. The energy comes out at -4.815 eV per atom. Its magnetic moment is 0.0 μB/cell.

=====

Record 6
This record from Alexandria describes Ac4NiPb after structural relaxation. The functional is PBE.

Unit cell a=5.358 b=5.358 c=8.030 alpha=90.00 beta=90.00 gamma=90.00
Positions (direct):
Ac1 0.000 0.500 0.223
Ac2 0.000 0.500 0.777
Ac3 0.500 0.000 0.223
Ac4 0.500 0.000 0.777
Ni1 0.000 0.000 0.000
Pb1 0.500 0.500 0.500

## Properties
As for the space-group type: P4/mmm (123). As for the volume: 38.4 Å³/atom. For the energy of formation from the pure elements, the calculation gives -82 meV/atom. The energy comes out at -4.403 eV per atom. Its magnetic moment is 0.0 μB/cell.